(1)
# TbHoEr2In4 PBE optimized geometry
data_TbHoEr2In4
_space_group_name_H-M_alt 'R -3 m'
_space_group_IT_number 166
_space_group_name_Hall '-R 3 2"'
_cell_length_a 5.2933
_cell_length_b 5.2933
_cell_length_c 25.9925
_cell_angle_alpha 90.00
_cell_angle_beta 90.00
_cell_angle_gamma 120.00
loop_
_atom_site_label
_atom_site_type_symbol
_atom_site_fract_x
_atom_site_fract_y
_atom_site_fract_z
_atom_site_occupancy
Tb1 Tb 0.0000 0.0000 0.0000 1
Ho1 Ho 0.0000 0.0000 0.5000 1
Er1 Er 0.0000 0.0000 0.2499 1
In1 In 0.0000 0.0000 0.1254 1
In2 In 0.0000 0.0000 0.3754 1
# - N(E_F): 0.484 states/eV/atom
# - Total magnetization: 0.0000 μB per atom
# - DFT formation energy: -452 meV per atom

(2)
# Tb2Ho6Er3In PBE optimized geometry
data_Tb2Ho6Er3In
_space_group_name_H-M_alt 'C 1 2/m 1'
_space_group_IT_number 12
_space_group_name_Hall '-C 2y'
_cell_length_a 6.044
_cell_length_b 10.475
_cell_length_c 11.584
_cell_angle_alpha 90.00
_cell_angle_beta 100.06
_cell_angle_gamma 90.00
loop_
_atom_site_label
_atom_site_type_symbol
_atom_site_fract_x
_atom_site_fract_y
_atom_site_fract_z
_atom_site_occupancy
Tb1 Tb 0.000 0.166 0.000 1
Ho1 Ho 0.246 0.500 0.750 1
Ho2 Ho 0.247 0.336 0.249 1
Er1 Er 0.000 0.000 0.500 1
Er2 Er 0.000 0.333 0.500 1
In1 In 0.000 0.500 0.000 1
# - N(E_F): 1.310 states/eV/atom
# - Total magnetization: 0.0000 μB per atom
# - DFT formation energy: -45 meV per atom

(3)
# TbHoErIn PBE optimized geometry
data_TbHoErIn
_space_group_name_H-M_alt 'P m m m'
_space_group_IT_number 47
_space_group_name_Hall '-P 2 2'
_cell_length_a 4.829
_cell_length_b 4.829
_cell_length_c 4.830
_cell_angle_alpha 90.00
_cell_angle_beta 90.00
_cell_angle_gamma 90.00
loop_
_atom_site_label
_atom_site_type_symbol
_atom_site_fract_x
_atom_site_fract_y
_atom_site_fract_z
_atom_site_occupancy
Tb1 Tb 0.000 0.000 0.000 1
Ho1 Ho 0.000 0.500 0.500 1
Er1 Er 0.500 0.500 0.000 1
In1 In 0.500 0.000 0.500 1
# - N(E_F): 1.456 states/eV/atom
# - Total magnetization: 0.0012 μB per atom
# - DFT formation energy: -265 meV per atom

(4)
# Tb5HoEr2In PBE optimized geometry
data_Tb5HoEr2In
_space_group_name_H-M_alt 'C m c m'
_space_group_IT_number 63
_space_group_name_Hall '-C 2c 2'
_cell_length_a 5.355
_cell_length_b 20.038
_cell_length_c 10.511
_cell_angle_alpha 90.00
_cell_angle_beta 90.00
_cell_angle_gamma 90.00
loop_
_atom_site_label
_atom_site_type_symbol
_atom_site_fract_x
_atom_site_fract_y
_atom_site_fract_z
_atom_site_occupancy
Tb1 Tb 0.000 0.000 0.000 1
Tb2 Tb 0.000 0.118 0.250 1
Tb3 Tb 0.000 0.211 0.550 1
Tb4 Tb 0.000 0.488 0.250 1
Ho1 Ho 0.000 0.294 0.250 1
Er1 Er 0.000 0.384 0.541 1
In1 In 0.000 0.096 0.750 1
# - N(E_F): 1.390 states/eV/atom
# - Total magnetization: 0.0000 μB per atom
# - DFT formation energy: -2 meV per atom

(5)
# HoErInTc PBE optimized geometry
data_HoErInTc
_space_group_name_H-M_alt 'F -4 3 m'
_space_group_IT_number 216
_space_group_name_Hall 'F -4 2 3'
_cell_length_a 7.129
_cell_length_b 7.129
_cell_length_c 7.129
_cell_angle_alpha 90.00
_cell_angle_beta 90.00
_cell_angle_gamma 90.00
loop_
_atom_site_label
_atom_site_type_symbol
_atom_site_fract_x
_atom_site_fract_y
_atom_site_fract_z
_atom_site_occupancy
Ho1 Ho 0.000 0.000 0.000 1
Er1 Er 0.000 0.000 0.500 1
In1 In 0.250 0.250 0.750 1
Tc1 Tc 0.250 0.250 0.250 1
# - N(E_F): 0.754 states/eV/atom
# - Total magnetization: 0.0000 μB per atom
# - DFT formation energy: -172 meV per atom

(6)
# HoErIn2Te4 PBE optimized geometry
data_HoErIn2Te4
_space_group_name_H-M_alt 'P 1 2/m 1'
_space_group_IT_number 10
_space_group_name_Hall '-P 2y'
_cell_length_a 7.605
_cell_length_b 4.394
_cell_length_c 8.500
_cell_angle_alpha 90.00
_cell_angle_beta 107.37
_cell_angle_gamma 90.00
loop_
_atom_site_label
_atom_site_type_symbol
_atom_site_fract_x
_atom_site_fract_y
_atom_site_fract_z
_atom_site_occupancy
Ho1 Ho 0.000 0.000 0.000 1
Er1 Er 0.500 0.500 0.000 1
In1 In 0.000 0.500 0.500 1
In2 In 0.500 0.000 0.500 1
Te1 Te 0.240 0.500 0.218 1
Te2 Te 0.262 0.000 0.783 1
# - N(E_F): 0.088 states/eV/atom
# - ΔE_f (raw): -7.66 eV/f.u.
# - Total magnetization: 0.0000 μB per atom

(7)
# Ho2ErIn3Te6 PBE optimized geometry
data_Ho2ErIn3Te6
_space_group_name_H-M_alt 'C 1 2/m 1'
_space_group_IT_number 12
_space_group_name_Hall '-C 2y'
_cell_length_a 7.610
_cell_length_b 13.181
_cell_length_c 8.503
_cell_angle_alpha 90.00
_cell_angle_beta 107.37
_cell_angle_gamma 90.00
loop_
_atom_site_label
_atom_site_type_symbol
_atom_site_fract_x
_atom_site_fract_y
_atom_site_fract_z
_atom_site_occupancy
Ho1 Ho 0.000 0.167 0.000 1
Er1 Er 0.000 0.500 0.000 1
In1 In 0.000 0.000 0.500 1
In2 In 0.000 0.333 0.500 1
Te1 Te 0.239 0.334 0.217 1
Te2 Te 0.240 0.000 0.218 1
# - N(E_F): 0.081 states/eV/atom
# - ΔE_f (raw): -11.51 eV/f.u.
# - Total magnetization: 0.0000 μB per atom

(8)
# HoEr2In3Te6 PBE optimized geometry
data_HoEr2In3Te6
_space_group_name_H-M_alt 'C 1 2/m 1'
_space_group_IT_number 12
_space_group_name_Hall '-C 2y'
_cell_length_a 7.605
_cell_length_b 13.170
_cell_length_c 8.507
_cell_angle_alpha 90.00
_cell_angle_beta 107.35
_cell_angle_gamma 90.00
loop_
_atom_site_label
_atom_site_type_symbol
_atom_site_fract_x
_atom_site_fract_y
_atom_site_fract_z
_atom_site_occupancy
Ho1 Ho 0.000 0.000 0.000 1
Er1 Er 0.000 0.333 0.000 1
In1 In 0.000 0.166 0.500 1
In2 In 0.000 0.500 0.500 1
Te1 Te 0.238 0.500 0.217 1
Te2 Te 0.239 0.167 0.217 1
# - N(E_F): 0.075 states/eV/atom
# - ΔE_f (raw): -11.48 eV/f.u.
# - Total magnetization: 0.0000 μB per atom

(9)
# Ho3ErIn4Te8 PBE optimized geometry
data_Ho3ErIn4Te8
_space_group_name_H-M_alt 'R -3 m'
_space_group_IT_number 166
_space_group_name_Hall '-R 3 2"'
_cell_length_a 8.7902
_cell_length_b 8.7902
_cell_length_c 24.3298
_cell_angle_alpha 90.00
_cell_angle_beta 90.00
_cell_angle_gamma 120.00
loop_
_atom_site_label
_atom_site_type_symbol
_atom_site_fract_x
_atom_site_fract_y
_atom_site_fract_z
_atom_site_occupancy
Ho1 Ho 0.0000 0.5000 0.0000 1
Er1 Er 0.0000 0.0000 0.0000 1
In1 In 0.0000 0.0000 0.5000 1
In2 In 0.0000 0.5000 0.5000 1
Te1 Te 0.0000 0.0000 0.2607 1
Te2 Te 0.0009 0.5004 0.7392 1
# - N(E_F): 0.042 states/eV/atom
# - ΔE_f (raw): -15.36 eV/f.u.
# - Total magnetization: 0.0000 μB per atom

(10)
# Ho3ErIn3Te8 PBE optimized geometry
data_Ho3ErIn3Te8
_space_group_name_H-M_alt 'R -3 m'
_space_group_IT_number 166
_space_group_name_Hall '-R 3 2"'
_cell_length_a 8.7315
_cell_length_b 8.7315
_cell_length_c 23.6654
_cell_angle_alpha 90.00
_cell_angle_beta 90.00
_cell_angle_gamma 120.00
loop_
_atom_site_label
_atom_site_type_symbol
_atom_site_fract_x
_atom_site_fract_y
_atom_site_fract_z
_atom_site_occupancy
Ho1 Ho 0.0000 0.5000 0.0000 1
Er1 Er 0.0000 0.0000 0.0000 1
In1 In 0.0000 0.5000 0.5000 1
Te1 Te 0.0000 0.0000 0.2582 1
Te2 Te 0.0006 0.5003 0.2589 1
# - N(E_F): 0.362 states/eV/atom
# - ΔE_f (raw): -14.98 eV/f.u.
# - Total magnetization: 0.0000 μB per atom

(11)
# HoErTiIn PBE optimized geometry
data_HoErTiIn
_space_group_name_H-M_alt 'F -4 3 m'
_space_group_IT_number 216
_space_group_name_Hall 'F -4 2 3'
_cell_length_a 7.387
_cell_length_b 7.387
_cell_length_c 7.387
_cell_angle_alpha 90.00
_cell_angle_beta 90.00
_cell_angle_gamma 90.00
loop_
_atom_site_label
_atom_site_type_symbol
_atom_site_fract_x
_atom_site_fract_y
_atom_site_fract_z
_atom_site_occupancy
Ho1 Ho 0.000 0.000 0.000 1
Er1 Er 0.000 0.000 0.500 1
Ti1 Ti 0.250 0.250 0.750 1
In1 In 0.250 0.250 0.250 1
# - N(E_F): 1.152 states/eV/atom
# - Total magnetization: 0.6928 μB per atom
# - DFT formation energy: -95 meV per atom

(12)
# HoEr5TlIn2 PBE optimized geometry
data_HoEr5TlIn2
_space_group_name_H-M_alt 'I 4/m c m'
_space_group_IT_number 140
_space_group_name_Hall '-I 4 2c'
_cell_length_a 8.436
_cell_length_b 8.436
_cell_length_c 14.431
_cell_angle_alpha 90.00
_cell_angle_beta 90.00
_cell_angle_gamma 90.00
loop_
_atom_site_label
_atom_site_type_symbol
_atom_site_fract_x
_atom_site_fract_y
_atom_site_fract_z
_atom_site_occupancy
Ho1 Ho 0.000 0.500 0.250 1
Er1 Er 0.000 0.000 0.000 1
Er2 Er 0.211 0.289 0.134 1
Tl1 Tl 0.000 0.000 0.250 1
In1 In 0.111 0.389 0.500 1
# - N(E_F): 0.884 states/eV/atom
# - Total magnetization: 0.0007 μB per atom
# - DFT formation energy: -22 meV per atom

(13)
# Ho3Er3Tl2In PBE optimized geometry
data_Ho3Er3Tl2In
_space_group_name_H-M_alt 'P -6 2 m'
_space_group_IT_number 189
_space_group_name_Hall 'P -6 -2'
_cell_length_a 8.8519
_cell_length_b 8.8519
_cell_length_c 3.7563
_cell_angle_alpha 90.00
_cell_angle_beta 90.00
_cell_angle_gamma 120.00
loop_
_atom_site_label
_atom_site_type_symbol
_atom_site_fract_x
_atom_site_fract_y
_atom_site_fract_z
_atom_site_occupancy
Ho1 Ho 0.0000 0.6216 0.0000 1
Er1 Er 0.0000 0.2881 0.5000 1
Tl1 Tl 0.3333 0.6667 0.5000 1
In1 In 0.0000 0.0000 0.0000 1
# - N(E_F): 1.211 states/eV/atom
# - Total magnetization: 0.0792 μB per atom
# - DFT formation energy: -264 meV per atom

(14)
# Ho5ErTlIn2 PBE optimized geometry
data_Ho5ErTlIn2
_space_group_name_H-M_alt 'I 4/m c m'
_space_group_IT_number 140
_space_group_name_Hall '-I 4 2c'
_cell_length_a 8.453
_cell_length_b 8.453
_cell_length_c 14.481
_cell_angle_alpha 90.00
_cell_angle_beta 90.00
_cell_angle_gamma 90.00
loop_
_atom_site_label
_atom_site_type_symbol
_atom_site_fract_x
_atom_site_fract_y
_atom_site_fract_z
_atom_site_occupancy
Ho1 Ho 0.000 0.000 0.000 1
Ho2 Ho 0.210 0.290 0.134 1
Er1 Er 0.000 0.500 0.250 1
Tl1 Tl 0.000 0.000 0.250 1
In1 In 0.111 0.389 0.500 1
# - N(E_F): 0.825 states/eV/atom
# - Total magnetization: 0.0000 μB per atom
# - DFT formation energy: -35 meV per atom

(15)
# HoEr5Tl2In PBE optimized geometry
data_HoEr5Tl2In
_space_group_name_H-M_alt 'I 4/m c m'
_space_group_IT_number 140
_space_group_name_Hall '-I 4 2c'
_cell_length_a 7.561
_cell_length_b 7.561
_cell_length_c 18.544
_cell_angle_alpha 90.00
_cell_angle_beta 90.00
_cell_angle_gamma 90.00
loop_
_atom_site_label
_atom_site_type_symbol
_atom_site_fract_x
_atom_site_fract_y
_atom_site_fract_z
_atom_site_occupancy
Ho1 Ho 0.000 0.500 0.250 1
Er1 Er 0.000 0.000 0.000 1
Er2 Er 0.210 0.290 0.132 1
Tl1 Tl 0.129 0.371 0.500 1
In1 In 0.000 0.000 0.250 1
# - N(E_F): 1.015 states/eV/atom
# - Total magnetization: 0.0000 μB per atom
# - DFT formation energy: 8 meV per atom

(16)
# HoErTlIn PBE optimized geometry
data_HoErTlIn
_space_group_name_H-M_alt 'F -4 3 m'
_space_group_IT_number 216
_space_group_name_Hall 'F -4 2 3'
_cell_length_a 7.514
_cell_length_b 7.514
_cell_length_c 7.514
_cell_angle_alpha 90.00
_cell_angle_beta 90.00
_cell_angle_gamma 90.00
loop_
_atom_site_label
_atom_site_type_symbol
_atom_site_fract_x
_atom_site_fract_y
_atom_site_fract_z
_atom_site_occupancy
Ho1 Ho 0.000 0.000 0.000 1
Er1 Er 0.000 0.000 0.500 1
Tl1 Tl 0.250 0.250 0.750 1
In1 In 0.250 0.250 0.250 1
# - N(E_F): 0.460 states/eV/atom
# - Total magnetization: 0.0000 μB per atom
# - DFT formation energy: -383 meV per atom

(17)
# Ho2Er6Tm3In PBE optimized geometry
data_Ho2Er6Tm3In
_space_group_name_H-M_alt 'C 1 2/m 1'
_space_group_IT_number 12
_space_group_name_Hall '-C 2y'
_cell_length_a 6.012
_cell_length_b 10.424
_cell_length_c 11.521
_cell_angle_alpha 90.00
_cell_angle_beta 100.10
_cell_angle_gamma 90.00
loop_
_atom_site_label
_atom_site_type_symbol
_atom_site_fract_x
_atom_site_fract_y
_atom_site_fract_z
_atom_site_occupancy
Ho1 Ho 0.000 0.166 0.000 1
Er1 Er 0.247 0.335 0.248 1
Er2 Er 0.248 0.500 0.750 1
Tm1 Tm 0.000 0.000 0.500 1
Tm2 Tm 0.000 0.333 0.500 1
In1 In 0.000 0.500 0.000 1
# - N(E_F): 1.372 states/eV/atom
# - Total magnetization: 0.0000 μB per atom
# - DFT formation energy: -39 meV per atom

(18)
# HoErTm2In4 PBE optimized geometry
data_HoErTm2In4
_space_group_name_H-M_alt 'R -3 m'
_space_group_IT_number 166
_space_group_name_Hall '-R 3 2"'
_cell_length_a 5.2717
_cell_length_b 5.2717
_cell_length_c 25.8840
_cell_angle_alpha 90.00
_cell_angle_beta 90.00
_cell_angle_gamma 120.00
loop_
_atom_site_label
_atom_site_type_symbol
_atom_site_fract_x
_atom_site_fract_y
_atom_site_fract_z
_atom_site_occupancy
Ho1 Ho 0.0000 0.0000 0.0000 1
Er1 Er 0.0000 0.0000 0.5000 1
Tm1 Tm 0.0000 0.0000 0.2499 1
In1 In 0.0000 0.0000 0.1251 1
In2 In 0.0000 0.0000 0.3752 1
# - N(E_F): 0.559 states/eV/atom
# - Total magnetization: 0.0000 μB per atom
# - DFT formation energy: -434 meV per atom

(19)
# HoEr2Tm2In PBE optimized geometry
data_HoEr2Tm2In
_space_group_name_H-M_alt 'P n n m'
_space_group_IT_number 58
_space_group_name_Hall '-P 2 2n'
_cell_length_a 6.525
_cell_length_b 9.892
_cell_length_c 5.412
_cell_angle_alpha 90.00
_cell_angle_beta 90.00
_cell_angle_gamma 90.00
loop_
_atom_site_label
_atom_site_type_symbol
_atom_site_fract_x
_atom_site_fract_y
_atom_site_fract_z
_atom_site_occupancy
Ho1 Ho 0.000 0.000 0.000 1
Er1 Er 0.217 0.191 0.500 1
Tm1 Tm 0.210 0.364 0.000 1
In1 In 0.000 0.500 0.500 1
# - N(E_F): 1.041 states/eV/atom
# - Total magnetization: 0.0000 μB per atom
# - DFT formation energy: -30 meV per atom

(20)
# HoErTm2In PBE optimized geometry
data_HoErTm2In
_space_group_name_H-M_alt 'C m c m'
_space_group_IT_number 63
_space_group_name_Hall '-C 2c 2'
_cell_length_a 3.453
_cell_length_b 20.285
_cell_length_c 9.132
_cell_angle_alpha 90.00
_cell_angle_beta 90.00
_cell_angle_gamma 90.00
loop_
_atom_site_label
_atom_site_type_symbol
_atom_site_fract_x
_atom_site_fract_y
_atom_site_fract_z
_atom_site_occupancy
Ho1 Ho 0.000 0.000 0.000 1
Er1 Er 0.000 0.395 0.250 1
Tm1 Tm 0.000 0.167 0.053 1
In1 In 0.000 0.237 0.750 1
# - N(E_F): 1.237 states/eV/atom
# - Total magnetization: 0.0000 μB per atom
# - DFT formation energy: 84 meV per atom